This record from the Alexandria database describes K2Na2PaSe4 after structural relaxation. The functional is PBE.

Unit cell a=4.4493 b=8.8286 c=8.8801 alpha=120.12 beta=104.51 gamma=90.00
Each line ends with the local moment (μB).
Positions (direct):
1 Se 0.1966 0.1688 0.3933  -0.01
2 Na 0.6685 0.9419 0.3369  0.00
3 Se 0.4781 0.7646 0.9563  -0.02
4 K 0.1628 0.5367 0.3256  0.00
5 Se 0.5219 0.2354 0.0437  -0.02
6 Pa 0.0000 0.0000 0.0000  1.04
7 Se 0.8034 0.8312 0.6067  -0.01
8 K 0.8372 0.4633 0.6744  0.00
9 Na 0.3315 0.0581 0.6631  0.00

For the density of states at the Fermi level, the calculation gives 4.0 states/eV/cell. As for the symmetry: C2/m, No. 12. The total energy is -4.362 eV per atom.



This record from the Alexandria database describes KNaPaSe3 after structural relaxation. The functional is PBE.

Unit cell a=4.2510 b=10.3673 c=8.0133 alpha=93.23 beta=90.00 gamma=90.00
Each line ends with the local moment (μB).
Positions (direct):
1 Pa 0.7500 0.3198 0.9151  0.96
2 Se 0.2500 0.1790 0.0622  -0.02
3 Na 0.2500 0.9973 0.7392  0.00
4 Na 0.7500 0.0027 0.2608  0.00
5 K 0.7500 0.6669 0.5775  0.00
6 Se 0.2500 0.4876 0.7984  -0.03
7 K 0.2500 0.3331 0.4225  0.00
8 Se 0.7500 0.8210 0.9378  -0.02
9 Pa 0.2500 0.6802 0.0849  0.96
10 Se 0.7500 0.5124 0.2016  -0.03
11 Se 0.7500 0.1695 0.6233  -0.02
12 Se 0.2500 0.8305 0.3767  -0.02

For the density of states at the Fermi level, the calculation gives 10.7 states/eV/cell. As for the symmetry: P2_1/m, No. 11. The total energy is -5.058 eV per atom.



This record from the Alexandria database describes K3NaPa2Se6 after structural relaxation. The functional is PBE.

Unit cell a=4.2552 b=9.2115 c=10.0621 alpha=107.17 beta=102.21 gamma=90.00
Each line ends with the local moment (μB).
Positions (direct):
1 K 0.5000 0.5000 0.0000  0.00
2 Se 0.9805 0.7524 0.9609  -0.02
3 Se 0.3220 0.4445 0.6441  -0.03
4 Se 0.6698 0.1229 0.3395  -0.02
5 Pa 0.1646 0.3290 0.3291  0.96
6 Pa 0.8354 0.6710 0.6709  0.96
7 Se 0.0195 0.2476 0.0391  -0.02
8 K 0.8431 0.1659 0.6863  0.00
9 Na 0.5000 0.0000 0.0000  0.00
10 Se 0.3302 0.8771 0.6605  -0.02
11 K 0.1569 0.8341 0.3137  0.00
12 Se 0.6780 0.5555 0.3559  -0.03

For the density of states at the Fermi level, the calculation gives 10.6 states/eV/cell. As for the symmetry: C2/m, No. 12. The total energy is -5.074 eV per atom.



This record from the Alexandria database describes K4NaPa3Se8 after structural relaxation. The functional is PBE.

Unit cell a=8.5227 b=9.1385 c=8.5233 alpha=117.80 beta=120.00 gamma=90.00
Each line ends with the local moment (μB).
Positions (direct):
1 Pa 0.5000 0.5000 0.5000  1.20
2 Pa 0.5000 0.5000 0.0000  1.20
3 Na 0.0000 0.5000 0.0000  0.00
4 Se 0.2640 0.2919 0.5280  -0.03
5 Se 0.7210 0.7067 0.9639  -0.03
6 Pa 0.0000 0.5000 0.5000  1.20
7 Se 0.2429 0.7068 0.4859  -0.03
8 Se 0.2790 0.2933 0.0361  -0.03
9 Se 0.7360 0.7081 0.4720  -0.03
10 K 0.0000 0.0000 0.5000  0.00
11 Se 0.2428 0.7067 0.9639  -0.03
12 Se 0.7572 0.2933 0.0361  -0.03
13 Se 0.7571 0.2932 0.5141  -0.03
14 K 0.0000 0.0000 0.0000  0.00
15 K 0.5000 0.0000 0.0000  0.00
16 K 0.5000 0.0000 0.5000  0.00

For the density of states at the Fermi level, the calculation gives 17.5 states/eV/cell. As for the symmetry: R-3m, No. 166. The total energy is -5.236 eV per atom.



This record from the Alexandria database describes K4NaPa3Te8 after structural relaxation. The functional is PBE.

Unit cell a=9.0783 b=9.7844 c=9.0778 alpha=117.65 beta=120.00 gamma=90.00
Each line ends with the local moment (μB).
Positions (direct):
1 Te 0.7373 0.7119 0.4746  -0.03
2 K 0.0000 0.0000 0.0000  0.00
3 K 0.5000 0.0000 0.0000  0.00
4 Te 0.2427 0.7103 0.4854  -0.03
5 K 0.5000 0.0000 0.5000  0.00
6 K 0.0000 0.0000 0.5000  0.00
7 Pa 0.5000 0.5000 0.5000  1.24
8 Pa 0.0000 0.5000 0.5000  1.24
9 Na 0.0000 0.5000 0.0000  0.00
10 Pa 0.5000 0.5000 0.0000  1.24
11 Te 0.7573 0.2898 0.0325  -0.03
12 Te 0.2627 0.2881 0.5254  -0.03
13 Te 0.7248 0.7102 0.9675  -0.03
14 Te 0.2752 0.2898 0.0325  -0.03
15 Te 0.2427 0.7102 0.9675  -0.03
16 Te 0.7573 0.2897 0.5146  -0.03

For the density of states at the Fermi level, the calculation gives 18.1 states/eV/cell. As for the symmetry: R-3m, No. 166. The total energy is -4.691 eV per atom.



This record from the Alexandria database describes K3NaPa2Te6 after structural relaxation. The functional is PBE.

Unit cell a=7.9677 b=7.9677 c=8.6025 alpha=98.88 beta=98.88 gamma=120.01
Each line ends with the local moment (μB).
Positions (direct):
1 Na 0.0000 0.0000 0.0000  0.00
2 Te 0.0708 0.4237 0.2115  -0.03
3 Te 0.9292 0.5763 0.7885  -0.03
4 Te 0.4237 0.0708 0.2115  -0.03
5 Pa 0.6675 0.3325 0.0000  1.05
6 Pa 0.3325 0.6675 0.0000  1.05
7 Te 0.7180 0.7180 0.2090  -0.03
8 K 0.8402 0.1598 0.5000  0.00
9 Te 0.2820 0.2820 0.7910  -0.03
10 Te 0.5763 0.9292 0.7885  -0.03
11 K 0.1598 0.8402 0.5000  0.00
12 K 0.5000 0.5000 0.5000  0.00

For the density of states at the Fermi level, the calculation gives 11.9 states/eV/cell. As for the symmetry: C2/m, No. 12. The total energy is -4.555 eV per atom.



- Which formula does entry 5 have?
  K4NaPa3Te8